# PBE AcYN2, relaxed
data_AcYN2
_chemical_formula_sum 'Ac1 Y1 N2'
_cell_length_a 3.602
_cell_length_b 3.601
_cell_length_c 6.388
_cell_angle_alpha 90.02
_cell_angle_beta 90.00
_cell_angle_gamma 120.00
_space_group_name_H-M_alt 'P 1'
_space_group_IT_number 1
_space_group_name_Hall 'P 1'
loop_
_atom_site_label
_atom_site_fract_x
_atom_site_fract_y
_atom_site_fract_z
_atom_site_occupancy
Ac1 0.000 0.500 0.500 1
Y1 0.000 0.500 0.000 1
N1 0.333 0.167 0.229 1
N2 0.667 0.833 0.771 1
# Electronic total energy   -31.17 eV per formula unit
# Total magnetic moment   0.0 μB per formula unit
# Uncorrected formation energy   -0.986 eV per atom
# Offset from the most stable computed form   301 meV per atom
# Space group   P-3m1